No. 1
# Ti7ZnPd3

Ti7ZnPd3 after structural relaxation (PBE-GGA, Alexandria).

Cell and atoms, written as POSCAR:
```
Ti7ZnPd3
1.0
-4.474 -0.760 1.287
3.798 -5.386 1.390
3.467 2.780 5.061
Ti Zn Pd
7 1 3
Direct
0.206 0.206 0.206 Ti
0.674 0.947 0.402 Ti
0.674 0.402 0.947 Ti
0.326 0.053 0.598 Ti
0.000 0.500 0.500 Ti
0.326 0.598 0.053 Ti
0.794 0.794 0.794 Ti
0.500 0.500 0.500 Zn
0.500 0.000 0.000 Pd
0.000 0.205 0.795 Pd
0.000 0.795 0.205 Pd
```

Properties
Formation enthalpy at 0 K, eV/atom: -0.04



No. 2
# Tl2PRh

Tl2PRh after structural relaxation (PBE-GGA, Alexandria).

Cell and atoms, written as POSCAR:
```
Tl2PRh
1.0
-2.153 -1.278 2.555
2.527 -2.748 0.755
3.513 2.613 4.265
Rh Tl P
1 2 1
Direct
0.500 0.500 0.000 Rh
0.000 0.008 0.753 Tl
0.000 0.992 0.247 Tl
0.500 0.500 0.500 P
```

Properties
Formation enthalpy at 0 K, eV/atom: 0.42



No. 3
# Er2Mn17C3

Er2Mn17C3 after structural relaxation (PBE-GGA, Alexandria).

Cell and atoms, written as POSCAR:
```
Er2Mn17C3
1.0
6.393 0.042 0.731
0.657 6.359 0.731
0.046 0.042 6.434
Mn C Er
17 3 2
Direct
0.659 0.140 0.659 Mn
0.140 0.659 0.659 Mn
0.000 0.500 0.000 Mn
0.341 0.860 0.341 Mn
0.500 0.000 0.000 Mn
0.341 0.341 0.860 Mn
0.000 0.000 0.500 Mn
0.279 0.721 0.000 Mn
0.000 0.721 0.279 Mn
0.279 0.000 0.721 Mn
0.096 0.096 0.096 Mn
0.721 0.279 0.000 Mn
0.000 0.279 0.721 Mn
0.904 0.904 0.904 Mn
0.721 0.000 0.279 Mn
0.659 0.659 0.140 Mn
0.860 0.341 0.341 Mn
0.500 0.500 0.000 C
0.000 0.500 0.500 C
0.500 0.000 0.500 C
0.349 0.349 0.349 Er
0.651 0.651 0.651 Er
```

Properties
Formation enthalpy at 0 K, eV/atom: -0.10



No. 4
# Nb2Ga2Pt

Nb2Ga2Pt after structural relaxation (PBE-GGA, Alexandria).

Cell and atoms, written as POSCAR:
```
Nb2Ga2Pt
1.0
-4.755 3.672 2.262
-3.460 -5.258 1.262
1.619 -0.179 3.693
Nb Ga Pt
4 4 2
Direct
0.338 0.162 0.500 Nb
0.662 0.838 0.500 Nb
0.838 0.338 0.500 Nb
0.162 0.662 0.500 Nb
0.637 0.137 0.000 Ga
0.363 0.863 0.000 Ga
0.137 0.363 0.000 Ga
0.863 0.637 0.000 Ga
0.500 0.500 0.000 Pt
0.000 0.000 0.000 Pt
```

Properties
Formation enthalpy at 0 K, eV/atom: -0.42



No. 5
# PmPr8Nd3

PmPr8Nd3 after structural relaxation (PBE-GGA, Alexandria).

Cell and atoms, written as POSCAR:
```
PmPr8Nd3
1.0
-5.434 1.538 6.515
5.712 -6.382 0.989
5.992 5.963 -1.693
Pr Nd Pm
8 3 1
Direct
0.000 0.874 0.627 Pr
0.000 0.752 0.251 Pr
0.501 0.749 0.749 Pr
0.247 0.373 0.373 Pr
0.753 0.126 0.126 Pr
0.000 0.627 0.874 Pr
0.000 0.251 0.752 Pr
0.499 0.248 0.248 Pr
0.500 0.250 0.750 Nd
0.500 0.750 0.250 Nd
0.000 0.500 0.500 Nd
0.000 0.000 0.000 Pm
```

Properties
Formation enthalpy at 0 K, eV/atom: 0.53



No. 6
# Dy3Ho4Th2

Dy3Ho4Th2 after structural relaxation (PBE-GGA, Alexandria).

Cell and atoms, written as POSCAR:
```
Dy3Ho4Th2
1.0
-5.189 0.163 -2.485
-2.138 -4.228 4.188
1.853 8.513 3.356
Dy Th Ho
3 2 4
Direct
0.875 0.317 0.750 Dy
0.125 0.683 0.250 Dy
0.000 0.000 0.000 Dy
0.355 0.991 0.710 Th
0.645 0.009 0.290 Th
0.439 0.618 0.878 Ho
0.771 0.676 0.542 Ho
0.561 0.382 0.122 Ho
0.229 0.324 0.458 Ho
```

Properties
Formation enthalpy at 0 K, eV/atom: 0.13



No. 7
# Ca2H4Pd

Ca2H4Pd after structural relaxation (PBE-GGA, Alexandria).

Cell and atoms, written as POSCAR:
```
Ca2H4Pd
1.0
-2.285 2.596 -1.007
-0.171 -1.431 -3.301
-6.337 -3.179 -0.258
H Pd Ca
4 1 2
Direct
0.178 0.178 0.644 H
0.822 0.822 0.356 H
0.000 0.500 0.000 H
0.500 0.000 0.000 H
0.000 0.000 0.000 Pd
0.642 0.642 0.716 Ca
0.358 0.358 0.284 Ca
```

Properties
VASP energy, Ry/atom: -0.2704



No. 8
# V2CrPdBr

V2CrPdBr after structural relaxation (PBE-GGA, Alexandria).

Cell and atoms, written as POSCAR:
```
V2CrPdBr
1.0
4.447 0.000 0.000
0.000 4.604 0.000
0.000 0.000 4.447
Cr Pd V Br
1 1 2 1
Direct
0.500 0.500 0.500 Cr
0.000 0.500 0.000 Pd
0.000 0.000 0.500 V
0.500 0.000 0.000 V
0.000 0.000 0.000 Br
```

Properties
Formation energy without anion corrections, kJ/mol of formula units: 697



| no. | N(E_F) (states/eV per cell) |
| --- | --- |
| 1 | 14.74 |
| 2 | 2.56 |
| 3 | 23.83 |
| 4 | 9.01 |
| 5 | 18.02 |
| 6 | 13.95 |
| 7 | 2.66 |
| 8 | 6.74 |